Computed, not measured: V2GaH after structural relaxation at the PBE-GGA level of DFT.

## Properties
- DOS at the Fermi energy: 12.01 states/eV per cell
- E: -5.922 eV/atom

Lattice parameters (Å, degrees): 4.882 4.882 8.633 90.00 90.00 90.00
Space group I4_1/amd (No. 141, origin choice 2)
Symmetry-distinct sites (fractional):
V: 0.000 0.000 0.000 x8
Ga: 0.000 0.250 0.375 x4
H: 0.000 0.250 0.875 x4


Computed, not measured: V3GaH after structural relaxation at the PBE-GGA level of DFT.

## Properties
- DOS at the Fermi energy: 23.26 states/eV per cell
- E: -6.639 eV/atom

Lattice parameters (Å, degrees): 5.032 5.032 9.567 90.00 90.00 90.00
Space group I-4m2 (No. 119)
Symmetry-distinct sites (fractional):
V: 0.000 0.000 0.125 x4
V: 0.000 0.246 0.631 x8
Ga: 0.000 0.500 0.112 x4
H: 0.000 0.000 0.500 x2
H: 0.000 0.500 0.750 x2


Computed, not measured: V2GaH after structural relaxation at the PBE-GGA level of DFT.

## Properties
- DOS at the Fermi energy: 3.45 states/eV per cell
- E: -6.252 eV/atom

Lattice parameters (Å, degrees): 3.497 3.497 7.202 90.00 90.00 90.00
Space group P4/nmm (No. 129, origin choice 2)
Symmetry-distinct sites (fractional):
V: 0.250 0.250 0.130 x2
V: 0.250 0.750 0.500 x2
Ga: 0.250 0.250 0.759 x2
H: 0.250 0.750 0.000 x2


Computed, not measured: V8Ga4H after structural relaxation at the PBE-GGA level of DFT.

## Properties
- DOS at the Fermi energy: 9.21 states/eV per cell
- E: -6.996 eV/atom

Lattice parameters (Å, degrees): 3.225 4.142 12.619 90.00 90.00 90.00
Space group Pmm2 (No. 25)
Symmetry-distinct sites (fractional):
V: 0.000 0.000 0.000 x1
V: 0.000 0.000 0.328 x1
V: 0.000 0.500 0.188 x1
V: 0.000 0.500 0.527 x1
V: 0.500 0.000 0.509 x1
V: 0.500 0.000 0.841 x1
V: 0.500 0.500 0.024 x1
V: 0.500 0.500 0.688 x1
Ga: 0.000 0.000 0.672 x1
Ga: 0.000 0.500 0.860 x1
Ga: 0.500 0.000 0.162 x1
Ga: 0.500 0.500 0.361 x1
H: 0.000 0.000 0.466 x1


Computed, not measured: V8GaH6 after structural relaxation at the PBE-GGA level of DFT.

## Properties
- DOS at the Fermi energy: 9.67 states/eV per cell
- E: -6.538 eV/atom

Lattice parameters (Å, degrees): 7.7183 7.7183 2.6190 90.00 90.00 120.00
Space group P-3 (No. 147)
Symmetry-distinct sites (fractional):
V: 0.0313 0.6888 0.3004 x6
V: 0.3333 0.6667 0.6737 x2
Ga: 0.0000 0.0000 0.0000 x1
H: 0.1572 0.4812 0.2168 x6


Computed, not measured: V3GaH after structural relaxation at the PBE-GGA level of DFT.

## Properties
- DOS at the Fermi energy: 14.29 states/eV per cell
- E: -6.739 eV/atom

Lattice parameters (Å, degrees): 5.058 9.219 5.080 90.00 90.00 90.00
Space group Cmcm (No. 63)
Symmetry-distinct sites (fractional):
V: 0.000 0.000 0.000 x4
V: 0.248 0.273 0.250 x8
Ga: 0.000 0.470 0.750 x4
H: 0.000 0.134 0.250 x4